--- P ---
The following is a PBE calculation of YReAsO after structural relaxation, from OQMD via LeMat-Bulk.

Computed properties:
Space group ... Pmc2_1 (26)

The structure in POSCAR format:
```
YReAsO
1.0
4.138 0.000 0.000
0.000 6.184 0.000
0.000 0.000 5.611
Y Re As O
2 2 2 2
Cartesian
0.000 1.105 0.000
0.000 5.078 2.806
2.069 2.858 4.296
2.069 3.326 1.490
0.000 1.950 2.871
0.000 4.234 0.066
2.069 1.555 0.350
2.069 4.628 3.156
```


--- Q ---
The following is a PBE calculation of YReAsO after structural relaxation, from OQMD via LeMat-Bulk.

Computed properties:
Space group ... P4/nmm (129)

The structure in POSCAR format:
```
YReAsO
1.0
4.340 0.000 0.000
0.000 4.340 0.000
0.000 0.000 6.758
Y Re As O
2 2 2 2
Cartesian
1.085 3.255 0.000
3.255 1.085 0.000
1.085 1.085 2.425
3.255 3.255 4.333
1.085 1.085 4.870
3.255 3.255 1.888
1.085 3.255 3.379
3.255 1.085 3.379
```


Most stable structure among those shown: P.